(1)
# Nd8Y2Tm3, relaxed, DFT PBE
data_Nd8Y2Tm3
_chemical_formula_sum 'Nd8 Y2 Tm3'
_cell_length_a 7.725
_cell_length_b 5.713
_cell_length_c 10.934
_cell_angle_alpha 90.00
_cell_angle_beta 110.64
_cell_angle_gamma 90.00
_symmetry_space_group_name_H-M 'P 1 2/m 1'
_symmetry_Int_Tables_number 10
_symmetry_space_group_name_Hall '-P 2y'
loop_
_atom_site_label
_atom_site_fract_x
_atom_site_fract_y
_atom_site_fract_z
Nd1 0.099 0.000 0.291
Nd2 0.172 0.500 0.843
Nd3 0.309 0.000 0.709
Nd4 0.371 0.500 0.241
Y1 0.261 0.000 0.021
Tm1 0.214 0.500 0.500
Tm2 0.500 0.000 0.500
# **Calculated formation energy**: 199 meV/atom
# **M_tot**: 0.000 μB/atom

(2)
# ErTaGa4, relaxed, DFT PBE
data_ErTaGa4
_chemical_formula_sum 'Er4 Ta4 Ga16'
_cell_length_a 7.468
_cell_length_b 7.468
_cell_length_c 7.468
_cell_angle_alpha 90.00
_cell_angle_beta 90.00
_cell_angle_gamma 90.00
_symmetry_space_group_name_H-M 'F -4 3 m'
_symmetry_Int_Tables_number 216
_symmetry_space_group_name_Hall 'F -4 2 3'
loop_
_atom_site_label
_atom_site_fract_x
_atom_site_fract_y
_atom_site_fract_z
Er1 0.000 0.000 0.000
Ta1 0.250 0.250 0.750
Ga1 0.125 0.125 0.375
# **Calculated formation energy**: -243 meV/atom
# **M_tot**: 0.000 μB/atom

(3)
# Cs2DyAgI6, relaxed, DFT PBE
data_Cs2DyAgI6
_chemical_formula_sum 'Cs4 Dy2 Ag2 I12'
_cell_length_a 8.583
_cell_length_b 12.239
_cell_length_c 8.584
_cell_angle_alpha 90.00
_cell_angle_beta 90.00
_cell_angle_gamma 90.00
_symmetry_space_group_name_H-M 'P m m n'
_symmetry_Int_Tables_number 59
loop_
_symmetry_equiv_pos_as_xyz
'x,y,z'
'-x,-y,-z'
'-x+1/2,-y+1/2,z'
'x+1/2,y+1/2,-z'
'x+1/2,-y,-z'
'-x+1/2,y,z'
'-x,y+1/2,-z'
'x,-y+1/2,z'
loop_
_atom_site_label
_atom_site_fract_x
_atom_site_fract_y
_atom_site_fract_z
Cs1 0.250 0.000 0.250
Dy1 0.250 0.250 0.749
Ag1 0.250 0.750 0.751
I1 0.000 0.250 0.500
I2 0.000 0.250 0.999
I3 0.250 0.003 0.750
# **Formation energy without anion corrections**: -1224 meV/atom
# **M_tot**: 0.000 μB/atom